No. 1
# HgSbPt2 (PBEsol, optimized geometry)
# - Total moment: 0.00 μB/f.u.
# - DOS at the Fermi energy: 0.422 states/eV/atom
# - Total DFT energy (no corrections): -4.81 eV/atom
data_HgSbPt2
_chemical_formula_sum 'Hg1 Sb1 Pt2'
_cell_length_a 3.855
_cell_length_b 3.869
_cell_length_c 5.330
_cell_angle_alpha 90.00
_cell_angle_beta 90.00
_cell_angle_gamma 90.00
_symmetry_space_group_name_H-M 'P m m m'
_symmetry_Int_Tables_number 47
loop_
_symmetry_equiv_pos_as_xyz
'x,y,z'
'-x,-y,-z'
'-x,-y,z'
'x,y,-z'
'x,-y,-z'
'-x,y,z'
'-x,y,-z'
'x,-y,z'
loop_
_atom_site_label
_atom_site_type_symbol
_atom_site_fract_x
_atom_site_fract_y
_atom_site_fract_z
_atom_site_occupancy
Hg1 Hg 0.000 0.000 0.000 1
Sb1 Sb 0.500 0.500 0.500 1
Pt1 Pt 0.000 0.000 0.500 1
Pt2 Pt 0.500 0.500 0.000 1


No. 2
# Be2TlReAg (PBEsol, optimized geometry)
# - Total moment: 3.65 μB/f.u.
# - DOS at the Fermi energy: 0.619 states/eV/atom
# - ΔE_f: 10.1 eV/f.u.
data_Be2TlReAg
_chemical_formula_sum 'Be2 Tl1 Re1 Ag1'
_cell_length_a 4.366
_cell_length_b 4.366
_cell_length_c 5.128
_cell_angle_alpha 90.00
_cell_angle_beta 90.00
_cell_angle_gamma 90.00
_symmetry_space_group_name_H-M 'P 4/m m m'
_symmetry_Int_Tables_number 123
_symmetry_space_group_name_Hall '-P 4 2'
loop_
_atom_site_label
_atom_site_type_symbol
_atom_site_fract_x
_atom_site_fract_y
_atom_site_fract_z
_atom_site_occupancy
Be1 Be 0.000 0.500 0.000 1
Tl1 Tl 0.000 0.000 0.000 1
Re1 Re 0.500 0.500 0.500 1
Ag1 Ag 0.000 0.000 0.500 1


No. 3
# Al4NiAu (PBEsol, optimized geometry)
# - Total moment: 0.00 μB/f.u.
# - DOS at the Fermi energy: 0.535 states/eV/atom
# - ΔE_f: 1.2 eV/f.u.
data_Al4NiAu
_chemical_formula_sum 'Al16 Ni4 Au4'
_cell_length_a 7.184
_cell_length_b 7.184
_cell_length_c 7.184
_cell_angle_alpha 90.00
_cell_angle_beta 90.00
_cell_angle_gamma 90.00
_symmetry_space_group_name_H-M 'F -4 3 m'
_symmetry_Int_Tables_number 216
_symmetry_space_group_name_Hall 'F -4 2 3'
loop_
_atom_site_label
_atom_site_type_symbol
_atom_site_fract_x
_atom_site_fract_y
_atom_site_fract_z
_atom_site_occupancy
Al1 Al 0.125 0.125 0.125 1
Ni1 Ni 0.000 0.000 0.500 1
Au1 Au 0.250 0.250 0.750 1


No. 4
# Li2TlRu (PBEsol, optimized geometry)
# - Total moment: 0.00 μB/f.u.
# - DOS at the Fermi energy: 0.616 states/eV/atom
# - ΔE_f: 0.8 eV/f.u.
data_Li2TlRu
_chemical_formula_sum 'Li2 Tl1 Ru1'
_cell_length_a 2.729
_cell_length_b 4.231
_cell_length_c 5.488
_cell_angle_alpha 90.00
_cell_angle_beta 90.00
_cell_angle_gamma 90.00
_symmetry_space_group_name_H-M 'P m m m'
_symmetry_Int_Tables_number 47
loop_
_symmetry_equiv_pos_as_xyz
'x,y,z'
'-x,-y,-z'
'-x,-y,z'
'x,y,-z'
'x,-y,-z'
'-x,y,z'
'-x,y,-z'
'x,-y,z'
loop_
_atom_site_label
_atom_site_type_symbol
_atom_site_fract_x
_atom_site_fract_y
_atom_site_fract_z
_atom_site_occupancy
Li1 Li 0.000 0.000 0.217 1
Tl1 Tl 0.500 0.500 0.500 1
Ru1 Ru 0.500 0.500 0.000 1


No. 5
# IrRh2 (PBEsol, optimized geometry)
# - Total moment: 0.00 μB/f.u.
# - DOS at the Fermi energy: 0.993 states/eV/atom
# - ΔE_f: -0.1 eV/f.u.
# - E above lowest polymorph: 0.00 eV/f.u.
data_IrRh2
_chemical_formula_sum 'Ir2 Rh4'
_cell_length_a 2.685
_cell_length_b 3.793
_cell_length_c 8.034
_cell_angle_alpha 90.00
_cell_angle_beta 90.00
_cell_angle_gamma 90.00
_symmetry_space_group_name_H-M 'I m m m'
_symmetry_Int_Tables_number 71
_symmetry_space_group_name_Hall '-I 2 2'
loop_
_atom_site_label
_atom_site_type_symbol
_atom_site_fract_x
_atom_site_fract_y
_atom_site_fract_z
_atom_site_occupancy
Ir1 Ir 0.000 0.000 0.000 1
Rh1 Rh 0.000 0.000 0.335 1


No. 6
# TlBrO4 (PBEsol, optimized geometry)
# - Total moment: 0.00 μB/f.u.
# - DOS at the Fermi energy: 0.000 states/eV/atom
# - Total DFT energy (no corrections): -4.24 eV/atom
data_TlBrO4
_chemical_formula_sum 'Tl4 Br4 O16'
_cell_length_a 9.141
_cell_length_b 6.031
_cell_length_c 7.620
_cell_angle_alpha 90.00
_cell_angle_beta 90.00
_cell_angle_gamma 90.00
_symmetry_space_group_name_H-M 'P n m a'
_symmetry_Int_Tables_number 62
loop_
_symmetry_equiv_pos_as_xyz
'x,y,z'
'-x,-y,-z'
'-x+1/2,-y,z+1/2'
'x+1/2,y,-z+1/2'
'x+1/2,-y+1/2,-z+1/2'
'-x+1/2,y+1/2,z+1/2'
'-x,y+1/2,-z'
'x,-y+1/2,z'
loop_
_atom_site_label
_atom_site_type_symbol
_atom_site_fract_x
_atom_site_fract_y
_atom_site_fract_z
_atom_site_occupancy
Tl1 Tl 0.179 0.250 0.164 1
Br1 Br 0.071 0.250 0.683 1
O1 O 0.081 0.028 0.810 1
O2 O 0.084 0.750 0.424 1
O3 O 0.210 0.250 0.547 1


No. 7
# V3O7 (PBEsol, optimized geometry)
# - Total moment: 0.00 μB/f.u.
# - DOS at the Fermi energy: 0.198 states/eV/atom
# - E above lowest polymorph: 0.55 eV/f.u.
data_V3O7
_chemical_formula_sum 'V6 O14'
_cell_length_a 5.380
_cell_length_b 10.482
_cell_length_c 4.172
_cell_angle_alpha 90.00
_cell_angle_beta 90.00
_cell_angle_gamma 90.00
_symmetry_space_group_name_H-M 'P m m n'
_symmetry_Int_Tables_number 59
loop_
_symmetry_equiv_pos_as_xyz
'x,y,z'
'-x,-y,-z'
'-x+1/2,-y+1/2,z'
'x+1/2,y+1/2,-z'
'x+1/2,-y,-z'
'-x+1/2,y,z'
'-x,y+1/2,-z'
'x,-y+1/2,z'
loop_
_atom_site_label
_atom_site_type_symbol
_atom_site_fract_x
_atom_site_fract_y
_atom_site_fract_z
_atom_site_occupancy
V1 V 0.250 0.016 0.107 1
V2 V 0.250 0.750 0.899 1
O1 O 0.014 0.622 0.002 1
O2 O 0.250 0.023 0.488 1
O3 O 0.250 0.750 0.517 1


No. 8
# Co2AuCl (PBEsol, optimized geometry)
# - Total moment: 3.75 μB/f.u.
# - DOS at the Fermi energy: 1.561 states/eV/atom
# - E above lowest polymorph: 1.42 eV/f.u.
data_Co2AuCl
_chemical_formula_sum 'Co4 Au2 Cl2'
_cell_length_a 2.761
_cell_length_b 5.392
_cell_length_c 8.005
_cell_angle_alpha 90.00
_cell_angle_beta 90.00
_cell_angle_gamma 90.00
_symmetry_space_group_name_H-M 'I m m m'
_symmetry_Int_Tables_number 71
_symmetry_space_group_name_Hall '-I 2 2'
loop_
_atom_site_label
_atom_site_type_symbol
_atom_site_fract_x
_atom_site_fract_y
_atom_site_fract_z
_atom_site_occupancy
Co1 Co 0.000 0.000 0.225 1
Au1 Au 0.000 0.500 0.000 1
Cl1 Cl 0.000 0.500 0.500 1


No. 9
# Cu2AgHg (PBEsol, optimized geometry)
# - Total moment: 0.00 μB/f.u.
# - DOS at the Fermi energy: 0.279 states/eV/atom
# - ΔE_f: 0.5 eV/f.u.
data_Cu2AgHg
_chemical_formula_sum 'Cu2 Ag1 Hg1'
_cell_length_a 2.893
_cell_length_b 3.640
_cell_length_c 5.672
_cell_angle_alpha 90.00
_cell_angle_beta 90.00
_cell_angle_gamma 90.00
_symmetry_space_group_name_H-M 'P m m m'
_symmetry_Int_Tables_number 47
loop_
_symmetry_equiv_pos_as_xyz
'x,y,z'
'-x,-y,-z'
'-x,-y,z'
'x,y,-z'
'x,-y,-z'
'-x,y,z'
'-x,y,-z'
'x,-y,z'
loop_
_atom_site_label
_atom_site_type_symbol
_atom_site_fract_x
_atom_site_fract_y
_atom_site_fract_z
_atom_site_occupancy
Cu1 Cu 0.000 0.000 0.237 1
Ag1 Ag 0.500 0.500 0.000 1
Hg1 Hg 0.500 0.500 0.500 1


No. 10
# Be2AgRu (PBEsol, optimized geometry)
# - Total moment: 0.00 μB/f.u.
# - DOS at the Fermi energy: 0.469 states/eV/atom
# - ΔE_f: 0.4 eV/f.u.
data_Be2AgRu
_chemical_formula_sum 'Be6 Ag3 Ru3'
_cell_length_a 2.7079
_cell_length_b 2.7079
_cell_length_c 22.6787
_cell_angle_alpha 90.00
_cell_angle_beta 90.00
_cell_angle_gamma 120.00
_symmetry_space_group_name_H-M 'R -3 m'
_symmetry_Int_Tables_number 166
_symmetry_space_group_name_Hall '-R 3 2"'
loop_
_atom_site_label
_atom_site_type_symbol
_atom_site_fract_x
_atom_site_fract_y
_atom_site_fract_z
_atom_site_occupancy
Be1 Be 0.0000 0.0000 0.2440 1
Ag1 Ag 0.0000 0.0000 0.0000 1
Ru1 Ru 0.0000 0.0000 0.5000 1


No. 11
# Fe2TcRu (PBEsol, optimized geometry)
# - Total moment: 3.79 μB/f.u.
# - DOS at the Fermi energy: 1.188 states/eV/atom
# - ΔE_f: 0.7 eV/f.u.
# - E above lowest polymorph: 0.20 eV/f.u.
data_Fe2TcRu
_chemical_formula_sum 'Fe6 Tc3 Ru3'
_cell_length_a 2.6225
_cell_length_b 2.6225
_cell_length_c 24.9248
_cell_angle_alpha 90.00
_cell_angle_beta 90.00
_cell_angle_gamma 120.00
_symmetry_space_group_name_H-M 'R 3 m'
_symmetry_Int_Tables_number 160
_symmetry_space_group_name_Hall 'R 3 -2"'
loop_
_atom_site_label
_atom_site_type_symbol
_atom_site_fract_x
_atom_site_fract_y
_atom_site_fract_z
_atom_site_occupancy
Fe1 Fe 0.0000 0.0000 0.0000 1
Fe2 Fe 0.0000 0.0000 0.2548 1
Tc1 Tc 0.0000 0.0000 0.7494 1
Ru1 Ru 0.0000 0.0000 0.5049 1


No. 12
# K2Be2H (PBEsol, optimized geometry)
# - Total moment: 0.00 μB/f.u.
# - DOS at the Fermi energy: 0.697 states/eV/atom
# - Total DFT energy (no corrections): -1.81 eV/atom
data_K2Be2H
_chemical_formula_sum 'K4 Be4 H2'
_cell_length_a 6.430
_cell_length_b 6.430
_cell_length_c 5.490
_cell_angle_alpha 90.00
_cell_angle_beta 90.00
_cell_angle_gamma 90.00
_symmetry_space_group_name_H-M 'I 4/m m m'
_symmetry_Int_Tables_number 139
_symmetry_space_group_name_Hall '-I 4 2'
loop_
_atom_site_label
_atom_site_type_symbol
_atom_site_fract_x
_atom_site_fract_y
_atom_site_fract_z
_atom_site_occupancy
K1 K 0.000 0.500 0.250 1
Be1 Be 0.000 0.000 0.189 1
H1 H 0.000 0.000 0.500 1